No. 1
## Sm4Zn3In (PBE-GGA)

Data for crystalline Sm4Zn3In at its relaxed geometry.

Cell lengths 3.692, 4.632, 11.999 Å; angles 90.00, 90.00, 90.00 degrees
Positions (direct):
Sm 0.000 0.000 0.000
Sm 0.000 0.500 0.295
Sm 0.500 0.000 0.482
Sm 0.500 0.500 0.808
Zn 0.000 0.500 0.571
Zn 0.500 0.000 0.212
Zn 0.500 0.500 0.080
In 0.000 0.000 0.710

Values from the calculation:
* energy above the most stable polymorph in this dataset: 37 meV per atom
* DOS(E_F): 7.16 states/eV/f.u.
* formation enthalpy at 0 K: -2.45 eV/f.u.

No. 2
## InCu6O12 (PBE-GGA)

Data for crystalline InCu6O12 at its relaxed geometry.

Cell lengths 6.612, 6.612, 6.612 Å; angles 109.47, 109.47, 109.47 degrees
Positions (direct):
In 0.000 0.000 0.000
Cu 0.161 0.500 0.661
Cu 0.339 0.839 0.500
Cu 0.500 0.339 0.839
Cu 0.500 0.661 0.161
Cu 0.661 0.161 0.500
Cu 0.839 0.500 0.339
O 0.152 0.493 0.341
O 0.152 0.811 0.659
O 0.189 0.341 0.848
O 0.341 0.152 0.493
O 0.341 0.848 0.189
O 0.493 0.341 0.152
O 0.507 0.659 0.848
O 0.659 0.152 0.811
O 0.659 0.848 0.507
O 0.811 0.659 0.152
O 0.848 0.189 0.341
O 0.848 0.507 0.659

Values from the calculation:
* DOS(E_F): 18.95 states/eV/f.u.
* ΔE_f (raw): 9.66 kJ per mole of atoms

No. 3
## GdLuTcNi (PBE-GGA)

Data for crystalline GdLuTcNi at its relaxed geometry.

Cell lengths 6.753, 6.753, 6.753 Å; angles 90.00, 90.00, 90.00 degrees
Positions (direct):
Gd 0.000 0.000 0.000
Gd 0.000 0.500 0.500
Gd 0.500 0.000 0.500
Gd 0.500 0.500 0.000
Lu 0.000 0.000 0.500
Lu 0.000 0.500 0.000
Lu 0.500 0.000 0.000
Lu 0.500 0.500 0.500
Tc 0.250 0.250 0.750
Tc 0.250 0.750 0.250
Tc 0.750 0.250 0.250
Tc 0.750 0.750 0.750
Ni 0.250 0.250 0.250
Ni 0.250 0.750 0.750
Ni 0.750 0.250 0.750
Ni 0.750 0.750 0.250

Values from the calculation:
* DOS(E_F): 3.33 states/eV/f.u.
* formation enthalpy at 0 K: -0.57 eV/f.u.

No. 4
## Cd3Tc (PBE-GGA)

Data for crystalline Cd3Tc at its relaxed geometry.

Cell lengths 3.326, 4.724, 9.852 Å; angles 90.00, 90.00, 90.00 degrees
Positions (direct):
Cd 0.000 0.000 0.000
Cd 0.000 0.500 0.268
Cd 0.000 0.500 0.732
Cd 0.500 0.000 0.268
Cd 0.500 0.000 0.732
Cd 0.500 0.500 0.000
Tc 0.000 0.000 0.500
Tc 0.500 0.500 0.500

Values from the calculation:
* energy above the most stable polymorph in this dataset: 110 meV per atom
* DOS(E_F): 3.17 states/eV/f.u.
* formation enthalpy at 0 K: 1.46 eV/f.u.

No. 5
## Mn2FeTcC (PBE-GGA)

Data for crystalline Mn2FeTcC at its relaxed geometry.

Cell lengths 3.792, 3.792, 3.736 Å; angles 90.00, 90.00, 90.00 degrees
Positions (direct):
Mn 0.000 0.500 0.000
Mn 0.500 0.000 0.000
Fe 0.000 0.000 0.500
Tc 0.500 0.500 0.500
C 0.000 0.000 0.000

Values from the calculation:
* DOS(E_F): 5.49 states/eV/f.u.
* formation enthalpy at 0 K: 0.64 eV/f.u.

No. 6
## TlHgPbS2 (PBE-GGA)

Data for crystalline TlHgPbS2 at its relaxed geometry.

Cell lengths 5.978, 6.308, 8.431 Å; angles 90.00, 95.67, 90.00 degrees
Positions (direct):
Tl 0.000 0.131 0.250
Tl 0.000 0.869 0.750
Hg 0.500 0.000 0.000
Hg 0.500 0.000 0.500
Pb 0.500 0.439 0.250
Pb 0.500 0.561 0.750
S 0.245 0.285 0.934
S 0.245 0.715 0.434
S 0.755 0.285 0.566
S 0.755 0.715 0.066

Values from the calculation:
* DOS(E_F): 1.77 states/eV/f.u.
* ΔE_f (raw): -9.79 kJ per mole of atoms

No. 7
## Li2Pr4Cd5 (PBE-GGA)

Data for crystalline Li2Pr4Cd5 at its relaxed geometry.

Cell lengths 8.015, 3.587, 10.459 Å; angles 90.00, 94.37, 90.00 degrees
Positions (direct):
Li 0.059 0.000 0.132
Li 0.941 0.000 0.868
Pr 0.170 0.500 0.387
Pr 0.287 0.500 0.934
Pr 0.713 0.500 0.066
Pr 0.830 0.500 0.613
Cd 0.194 0.000 0.666
Cd 0.422 0.000 0.205
Cd 0.500 0.000 0.500
Cd 0.578 0.000 0.795
Cd 0.806 0.000 0.334

Values from the calculation:
* DOS(E_F): 10.24 states/eV/f.u.
* formation enthalpy at 0 K: -1.65 eV/f.u.

No. 8
## Mn4CdPd5 (PBE-GGA)

Data for crystalline Mn4CdPd5 at its relaxed geometry.

Cell lengths 3.133, 3.133, 15.942 Å; angles 90.00, 90.00, 90.00 degrees
Positions (direct):
Mn 0.000 0.000 0.097
Mn 0.000 0.000 0.291
Mn 0.000 0.000 0.709
Mn 0.000 0.000 0.903
Cd 0.000 0.000 0.500
Pd 0.500 0.500 0.000
Pd 0.500 0.500 0.193
Pd 0.500 0.500 0.385
Pd 0.500 0.500 0.615
Pd 0.500 0.500 0.807

Values from the calculation:
* DOS(E_F): 4.94 states/eV/f.u.
* formation enthalpy at 0 K: -2.34 eV/f.u.

- What is the formula in the third record?
  GdLuTcNi

- Which of these has the lowest DOS(E_F)?
  TlHgPbS2

- Which value of DOS(E_F) does entry 4 give?
  3.17 states/eV/f.u.

Please write out number 4 again, unchanged.
## Cd3Tc (PBE-GGA)

Data for crystalline Cd3Tc at its relaxed geometry.

Cell lengths 3.326, 4.724, 9.852 Å; angles 90.00, 90.00, 90.00 degrees
Positions (direct):
Cd 0.000 0.000 0.000
Cd 0.000 0.500 0.268
Cd 0.000 0.500 0.732
Cd 0.500 0.000 0.268
Cd 0.500 0.000 0.732
Cd 0.500 0.500 0.000
Tc 0.000 0.000 0.500
Tc 0.500 0.500 0.500

Values from the calculation:
* energy above the most stable polymorph in this dataset: 110 meV per atom
* DOS(E_F): 3.17 states/eV/f.u.
* formation enthalpy at 0 K: 1.46 eV/f.u.